The following is a DFT calculation (PBE) of a relaxed LiTlCuMo crystal.

Results
* space-group type: F-43m, No. 216
* ΔE to the lowest computed polymorph: 0.104 eV/atom

Cell lengths 4.5597, 4.5597, 4.5597 Å; angles 60.00, 60.00, 60.00 degrees
Sites, in units of the cell vectors:
Li 0.0000 0.0000 0.0000
Tl 0.5000 0.5000 0.5000
Cu 0.7500 0.7500 0.7500
Mo 0.2500 0.2500 0.2500

The following is a DFT calculation (PBE) of a relaxed Ho2Sc2I5N crystal.

Results
* space-group type: C2/m, No. 12
* VASP energy: -50.3 eV for the cell shown

Cell lengths 10.2271, 10.2271, 8.3943 Å; angles 101.58, 101.58, 21.50 degrees
Sites, in units of the cell vectors:
Ho 0.0000 0.0000 0.1887
Ho 0.0000 0.0000 0.8113
Sc 0.3898 0.3898 0.9460
Sc 0.6102 0.6102 0.0540
I 0.1540 0.1540 0.3186
I 0.1543 0.1543 0.8322
I 0.5000 0.5000 0.5000
I 0.8457 0.8457 0.1678
I 0.8460 0.8460 0.6814
N 0.5000 0.5000 0.0000

The following is a DFT calculation (PBE) of a relaxed PrDyAg2 crystal.

Results
* space-group type: P4/mmm, No. 123
* VASP energy: -16.2 eV for the cell shown

Cell lengths 3.6576, 3.6576, 7.5276 Å; angles 90.00, 90.00, 90.00 degrees
Sites, in units of the cell vectors:
Pr 0.0000 0.0000 0.0000
Dy 0.0000 0.0000 0.5000
Ag 0.5000 0.5000 0.2726
Ag 0.5000 0.5000 0.7274

The following is a DFT calculation (PBE) of a relaxed Fe3N crystal.

Results
* space-group type: P6_3/mmc, No. 194
* VASP energy: -60.1 eV for the cell shown

Cell lengths 4.9059, 4.9059, 3.9501 Å; angles 90.00, 90.00, 120.00 degrees
Sites, in units of the cell vectors:
Fe 0.1664 0.3328 0.2500
Fe 0.1664 0.8336 0.2500
Fe 0.3328 0.1664 0.7500
Fe 0.6672 0.8336 0.2500
Fe 0.8336 0.1664 0.7500
Fe 0.8336 0.6672 0.7500
N 0.3333 0.6667 0.7500
N 0.6667 0.3333 0.2500

The following is a DFT calculation (PBE) of a relaxed AlCuB2 crystal.

Results
* space-group type: F-43m, No. 216
* VASP energy: -16.2 eV for the cell shown

Cell lengths 3.8935, 3.8935, 3.8935 Å; angles 60.00, 60.00, 60.00 degrees
Sites, in units of the cell vectors:
Al 0.0000 0.0000 0.0000
Cu 0.2500 0.2500 0.2500
B 0.5000 0.5000 0.5000
B 0.7500 0.7500 0.7500

The following is a DFT calculation (PBE) of a relaxed La2PrMg3AgHg2 crystal.

Results
* space-group type: Amm2, No. 38
* VASP energy: -26.0 eV for the cell shown

Cell lengths 4.3521, 8.0315, 8.0315 Å; angles 120.15, 90.00, 90.00 degrees
Sites, in units of the cell vectors:
La 0.0000 0.2062 0.7938
La 0.0000 0.7938 0.2062
Pr 0.0000 0.6175 0.6175
Mg 0.5000 0.2077 0.4432
Mg 0.5000 0.4432 0.2077
Mg 0.5000 0.9671 0.9671
Ag 0.0000 0.2064 0.2064
Hg 0.5000 0.5398 0.8699
Hg 0.5000 0.8699 0.5398

The following is a DFT calculation (PBE) of a relaxed RbBiTe3Pd crystal.

Results
* space-group type: P2_1/m, No. 11
* VASP energy: -44.8 eV for the cell shown

Cell lengths 9.2721, 4.6737, 10.5724 Å; angles 90.00, 115.07, 90.00 degrees
Sites, in units of the cell vectors:
Rb 0.2449 0.2500 0.2048
Rb 0.7551 0.7500 0.7952
Bi 0.2083 0.7500 0.6182
Bi 0.7917 0.2500 0.3818
Te 0.0145 0.2500 0.7089
Te 0.3516 0.7500 0.9734
Te 0.4166 0.2500 0.5963
Te 0.5834 0.7500 0.4037
Te 0.6484 0.2500 0.0266
Te 0.9855 0.7500 0.2911
Pd 0.3440 0.2500 0.8401
Pd 0.6560 0.7500 0.1599

The following is a DFT calculation (PBE) of a relaxed CsPrFe crystal.

Results
* space-group type: F-43m, No. 216
* ΔE to the lowest computed polymorph: 0.424 eV/atom

Cell lengths 4.9773, 4.9773, 4.9773 Å; angles 60.00, 60.00, 60.00 degrees
Sites, in units of the cell vectors:
Cs 0.0000 0.0000 0.0000
Pr 0.7500 0.7500 0.7500
Fe 0.2500 0.2500 0.2500